As2I2F: optimized geometry, PBE.

Cell lengths 7.247, 7.247, 4.576 Å; angles 90.00, 90.00, 90.00 degrees
Element x y z (fractional)
As 0.123 0.377 0.000
As 0.377 0.877 0.000
As 0.623 0.123 0.000
As 0.877 0.623 0.000
I 0.174 0.674 0.500
I 0.326 0.174 0.500
I 0.674 0.826 0.500
I 0.826 0.326 0.500
F 0.000 0.000 0.000
F 0.500 0.500 0.000

Properties
Final energy (Ry/atom): -0.2097
Symmetry: No. 127
Uncorrected formation energy (kJ/mol of formula units): 0.6



AsI2F: optimized geometry, PBE.

Cell lengths 7.457, 7.457, 8.377 Å; angles 90.00, 90.00, 90.00 degrees
Element x y z (fractional)
As 0.000 0.000 0.000
As 0.000 0.500 0.250
As 0.500 0.000 0.750
As 0.500 0.500 0.500
I 0.243 0.250 0.125
I 0.250 0.743 0.375
I 0.250 0.757 0.875
I 0.257 0.250 0.625
I 0.743 0.750 0.625
I 0.750 0.243 0.875
I 0.750 0.257 0.375
I 0.757 0.750 0.125
F 0.000 0.000 0.500
F 0.000 0.500 0.750
F 0.500 0.000 0.250
F 0.500 0.500 0.000

Properties
Final energy (Ry/atom): -0.1901
Symmetry: No. 122
Uncorrected formation energy (kJ/mol of formula units): -69.8



AsIF3: optimized geometry, PBE.

Cell lengths 4.377, 4.377, 4.377 Å; angles 90.00, 90.00, 90.00 degrees
Element x y z (fractional)
As 0.000 0.000 0.000
I 0.500 0.500 0.500
F 0.000 0.000 0.500
F 0.000 0.500 0.000
F 0.500 0.000 0.000

Properties
Final energy (Ry/atom): -0.2499
Symmetry: No. 221
Uncorrected formation energy (kJ/mol of formula units): -500.5



AsI5F6: optimized geometry, PBE.

Cell lengths 10.656, 10.656, 8.995 Å; angles 106.59, 106.59, 119.86 degrees
Element x y z (fractional)
As 0.089 0.911 0.750
As 0.911 0.089 0.250
I 0.170 0.390 0.944
I 0.198 0.653 0.933
I 0.347 0.802 0.567
I 0.390 0.170 0.444
I 0.500 0.500 0.000
I 0.500 0.500 0.500
I 0.610 0.830 0.556
I 0.653 0.198 0.433
I 0.802 0.347 0.067
I 0.830 0.610 0.056
F 0.057 0.238 0.216
F 0.063 0.746 0.581
F 0.078 0.121 0.419
F 0.121 0.078 0.919
F 0.238 0.057 0.716
F 0.254 0.937 0.919
F 0.746 0.063 0.081
F 0.762 0.943 0.284
F 0.879 0.922 0.081
F 0.922 0.879 0.581
F 0.937 0.254 0.419
F 0.943 0.762 0.784

Properties
Final energy (Ry/atom): -0.2347
Symmetry: No. 15
Uncorrected formation energy (kJ/mol of formula units): -1417.2



As2IF: optimized geometry, PBE.

Cell lengths 6.859, 6.859, 6.859 Å; angles 90.00, 90.00, 90.00 degrees
Element x y z (fractional)
As 0.250 0.250 0.250
As 0.250 0.250 0.750
As 0.250 0.750 0.250
As 0.250 0.750 0.750
As 0.750 0.250 0.250
As 0.750 0.250 0.750
As 0.750 0.750 0.250
As 0.750 0.750 0.750
I 0.000 0.000 0.000
I 0.000 0.500 0.500
I 0.500 0.000 0.500
I 0.500 0.500 0.000
F 0.000 0.000 0.500
F 0.000 0.500 0.000
F 0.500 0.000 0.000
F 0.500 0.500 0.500

Properties
Final energy (Ry/atom): -0.2151
Symmetry: No. 225
Uncorrected formation energy (kJ/mol of formula units): 97.6



AsIF4: optimized geometry, PBE.

Cell lengths 10.578, 10.578, 4.491 Å; angles 101.58, 101.58, 30.40 degrees
Element x y z (fractional)
As 0.051 0.051 0.340
As 0.949 0.949 0.660
I 0.271 0.271 0.007
I 0.729 0.729 0.993
F 0.114 0.114 0.128
F 0.158 0.664 0.443
F 0.218 0.782 0.000
F 0.336 0.842 0.557
F 0.664 0.158 0.443
F 0.782 0.218 0.000
F 0.842 0.336 0.557
F 0.886 0.886 0.872

Properties
Final energy (Ry/atom): -0.2843
Symmetry: No. 12
Uncorrected formation energy (kJ/mol of formula units): -919.0



AsI2F6: optimized geometry, PBE.

Cell lengths 8.206, 8.206, 6.029 Å; angles 98.18, 98.18, 78.31 degrees
Element x y z (fractional)
As 0.196 0.196 0.436
As 0.804 0.804 0.564
I 0.260 0.575 0.103
I 0.425 0.740 0.897
I 0.575 0.260 0.103
I 0.740 0.425 0.897
F 0.045 0.289 0.618
F 0.065 0.065 0.284
F 0.109 0.351 0.245
F 0.289 0.045 0.618
F 0.333 0.333 0.571
F 0.351 0.109 0.245
F 0.649 0.891 0.755
F 0.667 0.667 0.429
F 0.711 0.955 0.382
F 0.891 0.649 0.755
F 0.935 0.935 0.716
F 0.955 0.711 0.382

Properties
Final energy (Ry/atom): -0.2745
Symmetry: No. 12
Uncorrected formation energy (kJ/mol of formula units): -1411.9



As2IF: optimized geometry, PBE.

Cell lengths 4.409, 4.409, 18.504 Å; angles 90.00, 90.00, 90.00 degrees
Element x y z (fractional)
As 0.170 0.250 0.125
As 0.250 0.670 0.375
As 0.250 0.830 0.875
As 0.330 0.250 0.625
As 0.670 0.750 0.625
As 0.750 0.170 0.875
As 0.750 0.330 0.375
As 0.830 0.750 0.125
I 0.000 0.000 0.500
I 0.000 0.500 0.750
I 0.500 0.000 0.250
I 0.500 0.500 0.000
F 0.000 0.000 0.000
F 0.000 0.500 0.250
F 0.500 0.000 0.750
F 0.500 0.500 0.500

Properties
Final energy (Ry/atom): -0.2472
Symmetry: No. 122
Uncorrected formation energy (kJ/mol of formula units): -70.6



> The highest final energy belongs to which entry?

AsI2F